(1)
## Ba3Cd8In3 (PBE)

Data for a geometry-optimized Ba3Cd8In3 structure.

extended XYZ file:
```
14
Lattice="5.243 0.000 0.000 2.621 9.168 0.432 2.621 2.911 8.704" Properties=species:S:1:pos:R:3 pbc="T T T"
In 2.621 7.953 2.039
In 2.621 0.000 0.000
In 2.621 4.127 7.097
Cd 5.243 5.996 8.177
Cd 5.243 9.500 3.543
Cd 7.864 8.884 4.895
Cd 2.621 3.195 4.240
Cd 5.243 6.084 0.959
Cd 7.864 7.129 7.216
Cd 5.243 2.579 5.593
Cd 2.621 4.950 1.920
Ba 5.243 2.402 1.817
Ba 5.243 6.040 4.568
Ba 5.243 9.677 7.319
```

Values from the calculation:
* E_form: -0.299 eV per atom
* VASP energy: -1.8210 eV per atom

---

(2)
## BaCdIn3 (PBE)

Data for a geometry-optimized BaCdIn3 structure.

extended XYZ file:
```
10
Lattice="6.528 0.000 0.000 0.000 7.402 0.000 0.000 -3.701 6.410" Properties=species:S:1:pos:R:3 pbc="T T T"
Cd 3.264 0.000 0.000
Cd 0.000 0.000 0.000
Ba 4.896 3.701 2.138
Ba 1.633 0.000 4.273
In 1.632 3.702 3.907
In 4.897 1.533 5.160
In 1.632 2.168 1.251
In 4.897 -0.001 2.503
In 1.631 5.235 1.251
In 4.897 -1.534 5.159
```

Values from the calculation:
* E_form: -0.212 eV per atom
* VASP energy: -2.4229 eV per atom

---

(3)
## BaCdIn3 (PBE)

Data for a geometry-optimized BaCdIn3 structure.

extended XYZ file:
```
5
Lattice="5.610 0.000 0.000 0.000 5.610 0.000 0.000 0.000 5.610" Properties=species:S:1:pos:R:3 pbc="T T T"
Cd 0.000 0.000 0.000
In 2.805 0.000 0.000
In 0.000 2.805 0.000
In 0.000 0.000 2.805
Ba 2.805 2.805 2.805
```

Values from the calculation:
* E_form: -0.007 eV per atom
* VASP energy: -2.2179 eV per atom

---

(4)
## BaCdIn11 (PBE)

Data for a geometry-optimized BaCdIn11 structure.

extended XYZ file:
```
13
Lattice="5.940 -0.054 2.475 2.843 7.577 1.185 0.044 -0.027 8.262" Properties=species:S:1:pos:R:3 pbc="T T T"
In 3.983 4.825 6.984
In 2.992 -0.041 5.369
In 3.634 1.604 7.987
In 6.494 5.864 9.179
In 1.866 4.852 3.697
In 4.845 2.670 4.938
In 1.422 3.788 0.592
In 2.333 1.631 2.743
In 6.961 2.643 8.225
In 0.022 -0.014 4.131
In 5.193 5.892 3.934
Ba 0.000 0.000 0.000
Cd 4.392 3.761 1.830
```

Values from the calculation:
* E_form: -0.095 eV per atom
* VASP energy: -2.6305 eV per atom

---

(5)
## BaCd6In (PBE)

Data for a geometry-optimized BaCd6In structure.

extended XYZ file:
```
8
Lattice="-2.679 1.609 -3.737 -3.197 -3.601 0.741 -4.935 5.607 5.951" Properties=species:S:1:pos:R:3 pbc="T T T"
Cd -4.687 4.607 2.168
Cd -3.672 -0.162 -0.613
Cd -7.139 3.777 3.568
Cd -4.946 2.003 4.407
Cd -3.186 0.004 2.286
Cd -2.927 2.608 0.046
Ba 0.000 0.000 0.000
In -2.468 2.803 2.976
```

Values from the calculation:
* E_form: -0.162 eV per atom
* VASP energy: -1.4306 eV per atom

---

(6)
## Ba2CdIn2 (PBE)

Data for a geometry-optimized Ba2CdIn2 structure.

extended XYZ file:
```
5
Lattice="6.871 0.000 0.000 0.000 6.871 0.000 3.436 3.436 4.430" Properties=species:S:1:pos:R:3 pbc="T T T"
In 6.871 6.871 3.040
In 3.436 3.436 1.389
Cd 0.000 0.000 0.000
Ba 6.871 3.436 2.215
Ba 3.436 6.871 2.215
```

Values from the calculation:
* E above lowest polymorph: 0.258 eV per atom
* E_form: -0.136 eV per atom
* VASP energy: -2.1832 eV per atom

---

(7)
## BaCd2In2 (PBE)

Data for a geometry-optimized BaCd2In2 structure.

extended XYZ file:
```
10
Lattice="9.155 0.000 0.000 0.000 9.155 0.000 0.000 0.000 3.448" Properties=species:S:1:pos:R:3 pbc="T T T"
In 5.783 1.205 0.000
In 7.950 5.783 0.000
In 3.372 7.950 0.000
In 1.205 3.372 0.000
Cd 3.102 1.476 1.724
Cd 1.476 6.053 1.724
Cd 7.679 3.102 1.724
Cd 6.053 7.679 1.724
Ba 4.578 4.578 0.000
Ba 0.000 0.000 0.000
```

Values from the calculation:
* E_form: -0.139 eV per atom
* VASP energy: -1.9848 eV per atom

---

(8)
## BaCd2In4 (PBE)

Data for a geometry-optimized BaCd2In4 structure.

extended XYZ file:
```
7
Lattice="4.921 0.000 0.000 0.000 4.906 0.000 0.000 -2.453 8.515" Properties=species:S:1:pos:R:3 pbc="T T T"
In 2.461 0.000 3.178
In 0.000 0.000 5.295
In 0.000 2.453 3.219
In 2.461 2.453 5.337
Cd 2.461 0.000 7.096
Cd 2.461 2.453 1.419
Ba 0.000 0.000 0.000
```

Values from the calculation:
* E above lowest polymorph: 0.000 eV per atom
* E_form: -0.214 eV per atom
* VASP energy: -2.3154 eV per atom